DFT (PBE) results for PrAu2I6 after structural relaxation.

Calculated values
The value obtained for the density of states at the Fermi level is 0.119 states/eV per atom.

Unit cell a=10.6524 b=10.6524 c=8.5405 alpha=107.43 beta=107.43 gamma=91.44
Closest atoms and distances in Å follow each position.
Positions (direct):
Pr1 0.0870 0.9130 0.7500  4 I 2.96-3.27
Pr2 0.9130 0.0870 0.2500  4 I 2.96-3.27
Au1 0.2580 0.2938 0.6963  3 I 2.60-2.87
Au2 0.2938 0.2580 0.1963  3 I 2.60-2.87
Au3 0.7062 0.7420 0.8037  3 I 2.60-2.87
Au4 0.7420 0.7062 0.3037  3 I 2.60-2.87
I1 0.0150 0.2022 0.6733  1 Au 2.67
I2 0.0405 0.6444 0.7722  1 Pr 2.96
I3 0.2022 0.0150 0.1733  1 Au 2.67
I4 0.3513 0.4320 0.0628  2 Au 2.60-2.87
I5 0.3556 0.9595 0.7278  1 Pr 2.96
I6 0.4320 0.3513 0.5628  2 Au 2.60-2.87
I7 0.5680 0.6487 0.4372  2 Au 2.60-2.87
I8 0.6444 0.0405 0.2722  1 Pr 2.96
I9 0.6487 0.5680 0.9372  2 Au 2.60-2.87
I10 0.7978 0.9850 0.8267  1 Au 2.67
I11 0.9595 0.3556 0.2278  1 Pr 2.96
I12 0.9850 0.7978 0.3267  1 Au 2.67

=====

DFT (PBE) results for PrAuI4 after structural relaxation.

Unit cell a=8.1931 b=4.5334 c=16.9657 alpha=90.00 beta=116.67 gamma=90.00
Closest atoms and distances in Å follow each position.
Positions (direct):
Pr1 0.0000 0.0000 0.0000  6 I 3.15-3.23
Pr2 0.0000 0.5000 0.5000  6 I 3.15-3.23
Au1 0.5000 0.0000 0.5000  2 I 2.65
Au2 0.5000 0.5000 0.0000  2 I 2.65
I1 0.0093 0.0054 0.6326  2 Pr 3.15-3.19
I2 0.0093 0.4946 0.1326  2 Pr 3.15-3.19
I3 0.4345 0.6208 0.6012  1 Au 2.65
I4 0.4345 0.8792 0.1012  1 Au 2.65
I5 0.5655 0.1208 0.8988  1 Au 2.65
I6 0.5655 0.3792 0.3988  1 Au 2.65
I7 0.9907 0.5054 0.8674  2 Pr 3.15-3.19
I8 0.9907 0.9946 0.3674  2 Pr 3.15-3.19

=====

DFT (PBE) results for Pr4Au2I3 after structural relaxation.

Calculated values
The value obtained for the density of states at the Fermi level is 0.918 states/eV per atom.

Unit cell a=4.3293 b=4.3293 c=19.9941 alpha=90.05 beta=90.05 gamma=60.00
Closest atoms and distances in Å follow each position.
Positions (direct):
Pr1 0.0008 0.0008 0.2919  3 Au 3.08, 3 I 3.28
Pr2 0.3337 0.3337 0.1190  3 Au 3.00
Pr3 0.6663 0.6663 0.8810  3 Au 3.00
Pr4 0.9992 0.9992 0.7081  3 Au 3.08, 3 I 3.28
Au1 0.3328 0.3328 0.7978  6 Pr 3.00-3.08
Au2 0.6672 0.6672 0.2022  6 Pr 3.00-3.08
I1 0.0000 0.0000 0.0000  6 Pr 3.45
I2 0.3344 0.3344 0.3984  3 Pr 3.28
I3 0.6656 0.6656 0.6016  3 Pr 3.28

=====

DFT (PBE) results for Pr4AuI5 after structural relaxation.

Calculated values
The value obtained for the density of states at the Fermi level is 0.582 states/eV per atom.

Unit cell a=10.1129 b=10.1129 c=9.3312 alpha=102.18 beta=102.18 gamma=24.62
Closest atoms and distances in Å follow each position.
Positions (direct):
Pr1 0.0014 0.0014 0.2201  2 Au 2.97, 1 I 3.25
Pr2 0.3458 0.3458 0.9254  1 Au 2.97, 4 I 3.24-3.28
Pr3 0.6542 0.6542 0.0746  1 Au 2.97, 4 I 3.24-3.28
Pr4 0.9986 0.9986 0.7799  2 Au 2.97, 1 I 3.25
Au1 0.5000 0.5000 0.0000  6 Pr 2.97
I1 0.1687 0.1687 0.3387  3 Pr 3.24-3.25
I2 0.1718 0.1718 0.8198  4 Pr 3.28-3.37
I3 0.5000 0.5000 0.5000  4 Pr 3.39
I4 0.8282 0.8282 0.1802  4 Pr 3.28-3.37
I5 0.8313 0.8313 0.6613  3 Pr 3.24-3.25

=====

DFT (PBE) results for RbPrAu2I6 after structural relaxation.

Calculated values
The value obtained for the density of states at the Fermi level is 0.000 states/eV per atom.

Unit cell a=7.9444 b=7.9701 c=10.0075 alpha=89.95 beta=66.86 gamma=60.37
Closest atoms and distances in Å follow each position.
Positions (direct):
Rb1 0.0000 0.0000 0.0000  6 I 3.73-3.75
Pr1 0.9989 0.5026 0.5000  6 I 3.16-3.17
Au1 0.4702 0.7716 0.3000  3 I 2.71-2.74
Au2 0.5315 0.2315 0.7010  3 I 2.72-2.73
I1 0.1375 0.7549 0.2918  1 Au 2.74
I2 0.1780 0.5699 0.7136  1 Au 2.72
I3 0.4558 0.1186 0.2857  1 Au 2.72
I4 0.5413 0.8861 0.7134  1 Au 2.72
I5 0.8191 0.4310 0.2882  1 Au 2.71
I6 0.8596 0.2520 0.7113  1 Au 2.73

=====

DFT (PBE) results for Pr4RhAuI2 after structural relaxation.

Calculated values
The value obtained for the density of states at the Fermi level is 0.863 states/eV per atom.

Unit cell a=7.5011 b=4.3000 c=8.5278 alpha=90.00 beta=107.06 gamma=90.00
Closest atoms and distances in Å follow each position.
Positions (direct):
Pr1 0.2222 0.0000 0.1887  2 Rh 2.90, 1 Au 2.98
Pr2 0.2484 0.5000 0.8086  1 Rh 2.81, 2 Au 3.01
Pr3 0.7516 0.5000 0.1914  1 Rh 2.81, 2 Au 3.01
Pr4 0.7778 0.0000 0.8113  2 Rh 2.90, 1 Au 2.98
Rh1 0.0000 0.5000 0.0000  6 Pr 2.81-2.90
Au1 0.5000 0.0000 0.0000  6 Pr 2.98-3.01
I1 0.0000 0.0000 0.5000  6 Pr 3.48-3.52
I2 0.5000 0.5000 0.5000  6 Pr 3.57-3.66

=====

no.,raw formation energy (eV/atom)
1,-0.57
2,-0.89
3,-0.98
4,-1.16
5,-0.83
6,-0.89